# 1
! NaGdPb4, optimized geometry, DFT PBE-GGA; values from VASP
! - Magnetic moment: 7.065 μB per cell
! - Energy: -5.163 eV/atom
! - Space group: No. 216
! - Formation energy from the elements: -0.124 eV/atom
&SYSTEM
  ibrav = 0, nat = 6, ntyp = 3
/
ATOMIC_SPECIES
Pb 207.20 Pb.upf
Na 22.99 Na.upf
Gd 157.25 Gd.upf
ATOMIC_POSITIONS crystal
Pb 0.6257 0.6257 0.1230
Pb 0.6257 0.1230 0.6257
Pb 0.6257 0.6257 0.6257
Pb 0.1230 0.6257 0.6257
Na 0.2500 0.2500 0.2500
Gd 0.0000 0.0000 0.0000
CELL_PARAMETERS angstrom
6.4769 0.0000 0.0000
3.2385 5.6092 0.0000
3.2385 1.8697 5.2884



# 2
! Tb2PmPa, optimized geometry, DFT PBE-GGA; values from VASP
! - Magnetic moment: 0.001 μB per cell
! - Energy: -5.747 eV/atom
! - Space group: No. 123
! - Formation energy from the elements: 0.130 eV/atom
&SYSTEM
  ibrav = 0, nat = 4, ntyp = 3
/
ATOMIC_SPECIES
Pa 231.04 Pa.upf
Tb 158.93 Tb.upf
Pm 145.00 Pm.upf
ATOMIC_POSITIONS crystal
Pa 0.5000 0.5000 0.0000
Tb 0.0000 0.0000 0.7706
Tb 0.0000 0.0000 0.2294
Pm 0.5000 0.5000 0.5000
CELL_PARAMETERS angstrom
-3.2955 0.3302 -0.8635
-0.7955 -2.6416 2.0258
-1.4237 6.5020 7.9194



# 3
! NaCaRe2, optimized geometry, DFT PBE-GGA; values from VASP
! - Magnetic moment: 4.380 μB per cell
! - Energy: -5.220 eV/atom
! - Space group: No. 225
! - Formation energy from the elements: 1.834 eV/atom
&SYSTEM
  ibrav = 0, nat = 4, ntyp = 3
/
ATOMIC_SPECIES
Re 186.21 Re.upf
Ca 40.08 Ca.upf
Na 22.99 Na.upf
ATOMIC_POSITIONS crystal
Re 0.2500 0.2500 0.2500
Re 0.7500 0.7500 0.7500
Ca 0.5000 0.5000 0.5000
Na 0.0000 0.0000 0.0000
CELL_PARAMETERS angstrom
0.0000 3.4277 3.4277
3.4277 0.0000 3.4277
3.4277 3.4277 0.0000



# 4
! CaMgZr2, optimized geometry, DFT PBE-GGA; values from VASP
! - Magnetic moment: 0.000 μB per cell
! - Energy: -4.627 eV/atom
! - Space group: No. 122
! - Formation energy from the elements: 0.546 eV/atom
&SYSTEM
  ibrav = 0, nat = 8, ntyp = 3
/
ATOMIC_SPECIES
Ca 40.08 Ca.upf
Mg 24.30 Mg.upf
Zr 91.22 Zr.upf
ATOMIC_POSITIONS crystal
Ca 0.0000 0.0000 0.0000
Ca 0.7500 0.2500 0.5000
Mg 0.5000 0.5000 0.0000
Mg 0.2500 0.7500 0.5000
Zr 0.6110 0.1250 0.2500
Zr 0.1390 0.6250 0.2500
Zr 0.3750 0.3890 0.7500
Zr 0.8750 0.8610 0.7500
CELL_PARAMETERS angstrom
4.2646 0.0000 0.0000
0.0000 4.2646 0.0000
2.1323 2.1323 11.6276



# 5
! SrYScIr2, optimized geometry, DFT PBE-GGA; values from VASP
! - Magnetic moment: 0.000 μB per cell
! - Energy: -5.908 eV/atom
! - Space group: No. 123
! - Formation energy from the elements: 0.532 eV/atom
&SYSTEM
  ibrav = 0, nat = 5, ntyp = 4
/
ATOMIC_SPECIES
Y 88.91 Y.upf
Sr 87.62 Sr.upf
Ir 192.22 Ir.upf
Sc 44.96 Sc.upf
ATOMIC_POSITIONS crystal
Y 0.5000 0.5000 0.5000
Sr 0.0000 0.5000 0.0000
Ir 0.0000 0.0000 0.5000
Ir 0.5000 0.0000 0.0000
Sc 0.0000 0.0000 0.0000
CELL_PARAMETERS angstrom
4.8758 0.0000 0.0000
0.0000 5.0855 0.0000
0.0000 0.0000 4.8758



# 6
! LiIrRu, optimized geometry, DFT PBE-GGA; values from VASP
! - Magnetic moment: 0.000 μB per cell
! - Energy: -6.657 eV/atom
! - Space group: No. 11
! - Formation energy from the elements: 0.026 eV/atom
&SYSTEM
  ibrav = 0, nat = 6, ntyp = 3
/
ATOMIC_SPECIES
Ru 101.07 Ru.upf
Ir 192.22 Ir.upf
Li 6.94 Li.upf
ATOMIC_POSITIONS crystal
Ru 0.6716 0.2500 0.5043
Ru 0.3284 0.7500 0.4957
Ir 0.0034 0.2500 0.1742
Ir 0.9966 0.7500 0.8258
Li 0.3416 0.2500 0.8437
Li 0.6584 0.7500 0.1563
CELL_PARAMETERS angstrom
4.4703 0.0000 0.0067
0.0000 4.3928 0.0000
-1.9959 0.0000 4.0642



# 7
! La4PtSe2, optimized geometry, DFT PBE-GGA; values from VASP
! - Magnetic moment: 0.000 μB per cell
! - Energy: -5.709 eV/atom
! - Space group: No. 139
! - Energy relative to the elements, uncorrected: -1.035 eV/atom
&SYSTEM
  ibrav = 0, nat = 7, ntyp = 3
/
ATOMIC_SPECIES
Se 78.96 Se.upf
Pt 195.08 Pt.upf
La 138.91 La.upf
ATOMIC_POSITIONS crystal
Se 0.6155 0.6155 0.7689
Se 0.3845 0.3845 0.2311
Pt 0.0000 0.0000 0.0000
La 0.8017 0.8017 0.3967
La 0.1983 0.1983 0.6033
La 0.0000 0.5000 0.0000
La 0.5000 0.0000 0.0000
CELL_PARAMETERS angstrom
5.5504 0.0000 0.0000
0.0000 5.5504 0.0000
2.7752 2.7752 7.7157



# 8
! Ba3Ni, optimized geometry, DFT PBE-GGA; values from VASP
! - Magnetic moment: 0.000 μB per cell
! - Energy: -2.439 eV/atom
! - Space group: No. 225
! - Formation energy from the elements: 0.449 eV/atom
&SYSTEM
  ibrav = 0, nat = 4, ntyp = 2
/
ATOMIC_SPECIES
Ba 137.33 Ba.upf
Ni 58.69 Ni.upf
ATOMIC_POSITIONS crystal
Ba 0.0000 0.0000 0.0000
Ba 0.2500 0.2500 0.2500
Ba 0.5000 0.5000 0.5000
Ni 0.7500 0.7500 0.7500
CELL_PARAMETERS angstrom
-4.6281 -1.3341 3.5813
-3.4666 -4.7458 -1.2182
0.2269 -4.8624 3.5114



# 9
! YSiF2, optimized geometry, DFT PBE-GGA; values from VASP
! - Magnetic moment: 1.024 μB per cell
! - Energy: -5.803 eV/atom
! - Space group: No. 122
! - Energy relative to the elements, uncorrected: -1.895 eV/atom
&SYSTEM
  ibrav = 0, nat = 8, ntyp = 3
/
ATOMIC_SPECIES
Y 88.91 Y.upf
Si 28.09 Si.upf
F 19.00 F.upf
ATOMIC_POSITIONS crystal
Y 0.0000 0.0000 0.0000
Y 0.7500 0.2500 0.5000
Si 0.5000 0.5000 0.0000
Si 0.2500 0.7500 0.5000
F 0.6845 0.1250 0.2500
F 0.0655 0.6250 0.2500
F 0.3750 0.3155 0.7500
F 0.8750 0.9345 0.7500
CELL_PARAMETERS angstrom
-1.6086 -3.7485 -1.1396
3.0864 -1.9712 2.1273
-3.6857 -2.9011 6.8751



# 10
! AcPuSe3, optimized geometry, DFT PBE-GGA; values from VASP
! - Magnetic moment: 20.001 μB per cell
! - Energy: -7.525 eV/atom
! - Space group: No. 62
! - Energy relative to the elements, uncorrected: -1.746 eV/atom
&SYSTEM
  ibrav = 0, nat = 20, ntyp = 3
/
ATOMIC_SPECIES
Ac 227.00 Ac.upf
Pu 244.00 Pu.upf
Se 78.96 Se.upf
ATOMIC_POSITIONS crystal
Ac 0.7500 0.8648 0.8012
Ac 0.2500 0.1352 0.1988
Ac 0.7500 0.3648 0.6988
Ac 0.2500 0.6352 0.3012
Pu 0.2500 0.2783 0.9593
Pu 0.2500 0.7783 0.5407
Pu 0.7500 0.2217 0.4593
Pu 0.7500 0.7217 0.0407
Se 0.2500 0.3709 0.5561
Se 0.7500 0.8441 0.2135
Se 0.7500 0.4903 0.8960
Se 0.7500 0.9903 0.6040
Se 0.7500 0.6291 0.4439
Se 0.2500 0.0097 0.3960
Se 0.2500 0.8709 0.9439
Se 0.7500 0.3441 0.2865
Se 0.2500 0.6559 0.7135
Se 0.2500 0.1559 0.7865
Se 0.7500 0.1291 0.0561
Se 0.2500 0.5097 0.1040
CELL_PARAMETERS angstrom
-1.3743 -1.7987 3.7141
-2.5469 -6.4033 -4.0434
14.6038 -7.0614 1.9840



# 11
! K2MnTl, optimized geometry, DFT PBE-GGA; values from VASP
! - Magnetic moment: 3.992 μB per cell
! - Energy: -3.079 eV/atom
! - Space group: No. 25
! - Formation energy from the elements: 0.354 eV/atom
&SYSTEM
  ibrav = 0, nat = 4, ntyp = 3
/
ATOMIC_SPECIES
K 39.10 K.upf
Mn 54.94 Mn.upf
Tl 204.38 Tl.upf
ATOMIC_POSITIONS crystal
K 0.0000 0.0000 0.9280
K 0.5000 0.5000 0.3166
Mn 0.0000 0.0000 0.5918
Tl 0.5000 0.5000 0.6636
CELL_PARAMETERS angstrom
3.7448 0.0000 0.0000
0.0000 4.1042 0.0000
0.0000 0.0000 10.1891



# 12
! TaH2SeF, optimized geometry, DFT PBE-GGA; values from VASP
! - Magnetic moment: 1.098 μB per cell
! - Energy: -4.100 eV/atom
! - Space group: No. 123
&SYSTEM
  ibrav = 0, nat = 5, ntyp = 4
/
ATOMIC_SPECIES
H 1.01 H.upf
F 19.00 F.upf
Se 78.96 Se.upf
Ta 180.95 Ta.upf
ATOMIC_POSITIONS crystal
H 0.0000 0.0000 0.5000
H 0.5000 0.0000 0.0000
F 0.0000 0.0000 0.0000
Se 0.0000 0.5000 0.0000
Ta 0.5000 0.5000 0.5000
CELL_PARAMETERS angstrom
-2.9200 0.5839 -1.8890
2.1077 -3.6822 -4.3962
-1.5586 -2.7527 1.5584



# 13
! TeRh2IF, optimized geometry, DFT PBE-GGA; values from VASP
! - Magnetic moment: 0.000 μB per cell
! - Energy: -4.269 eV/atom
! - Space group: No. 123
! - Energy relative to the elements, uncorrected: -0.016 eV/atom
&SYSTEM
  ibrav = 0, nat = 5, ntyp = 4
/
ATOMIC_SPECIES
I 126.90 I.upf
Te 127.60 Te.upf
Rh 102.91 Rh.upf
F 19.00 F.upf
ATOMIC_POSITIONS crystal
I 0.5000 0.5000 0.5000
Te 0.0000 0.0000 0.0000
Rh 0.0000 0.0000 0.5000
Rh 0.5000 0.0000 0.0000
F 0.0000 0.5000 0.0000
CELL_PARAMETERS angstrom
5.0008 0.0000 0.0000
0.0000 4.3065 0.0000
0.0000 0.0000 5.0008



# 14
! KPmSe2, optimized geometry, DFT PBE-GGA; values from VASP
! - Magnetic moment: 0.000 μB per cell
! - Energy: -4.939 eV/atom
! - Space group: No. 160
! - Energy relative to the elements, uncorrected: -1.734 eV/atom
&SYSTEM
  ibrav = 0, nat = 4, ntyp = 3
/
ATOMIC_SPECIES
K 39.10 K.upf
Pm 145.00 Pm.upf
Se 78.96 Se.upf
ATOMIC_POSITIONS crystal
K 0.4978 0.4978 0.5067
Pm 0.6675 0.6675 0.9976
Se 0.0700 0.0700 0.7900
Se 0.2648 0.2648 0.2057
CELL_PARAMETERS angstrom
-3.0517 2.7452 -1.2607
-3.6131 -1.4792 -1.7877
-5.5627 -0.0222 6.1043



# 15
! Sr6In5, optimized geometry, DFT PBE-GGA; values from VASP
! - Magnetic moment: 0.000 μB per cell
! - Energy: -2.542 eV/atom
! - Space group: No. 71
! - Formation energy from the elements: -0.379 eV/atom
&SYSTEM
  ibrav = 0, nat = 11, ntyp = 2
/
ATOMIC_SPECIES
Sr 87.62 Sr.upf
In 114.82 In.upf
ATOMIC_POSITIONS crystal
Sr 0.5000 0.7499 0.0000
Sr 0.5000 0.2501 0.0000
Sr 0.8374 0.0853 0.6748
Sr 0.8374 0.5895 0.6748
Sr 0.1626 0.9147 0.3252
Sr 0.1626 0.4105 0.3252
In 0.0000 0.5000 0.0000
In 0.6724 0.6724 0.3449
In 0.3276 0.3276 0.6551
In 0.3268 0.8268 0.6536
In 0.6732 0.1732 0.3464
CELL_PARAMETERS angstrom
5.4479 0.0057 -1.6861
-0.9485 7.5751 -3.0380
0.0842 -0.4693 9.9142



# 16
! TlGaP2S, optimized geometry, DFT PBE-GGA; values from VASP
! - Magnetic moment: 1.035 μB per cell
! - Energy: -3.513 eV/atom
! - Space group: No. 123
! - Energy relative to the elements, uncorrected: 0.555 eV/atom
&SYSTEM
  ibrav = 0, nat = 5, ntyp = 4
/
ATOMIC_SPECIES
P 30.97 P.upf
Tl 204.38 Tl.upf
S 32.06 S.upf
Ga 69.72 Ga.upf
ATOMIC_POSITIONS crystal
P 0.0000 0.5000 0.0000
P 0.5000 0.0000 0.0000
Tl 0.5000 0.5000 0.5000
S 0.0000 0.0000 0.5000
Ga 0.0000 0.0000 0.0000
CELL_PARAMETERS angstrom
-1.9280 4.3806 -0.5323
-4.2430 -1.6806 1.5370
1.2401 1.1092 4.6363



# 17
! Sc2InOs, optimized geometry, DFT PBE-GGA; values from VASP
! - Magnetic moment: 0.000 μB per cell
! - Energy: -6.617 eV/atom
! - Space group: No. 166
! - Formation energy from the elements: 0.040 eV/atom
&SYSTEM
  ibrav = 0, nat = 4, ntyp = 3
/
ATOMIC_SPECIES
Sc 44.96 Sc.upf
Os 190.23 Os.upf
In 114.82 In.upf
ATOMIC_POSITIONS crystal
Sc 0.8982 0.8982 0.8982
Sc 0.1018 0.1018 0.1018
Os 0.5000 0.5000 0.5000
In 0.0000 0.0000 0.0000
CELL_PARAMETERS angstrom
1.8494 0.0000 10.0489
-0.9247 1.6016 10.0489
-0.9247 -1.6016 10.0489



# 18
! NpTcO6, optimized geometry, DFT PBE-GGA; values from VASP
! - Magnetic moment: 3.081 μB per cell
! - Energy: -8.385 eV/atom
! - Space group: No. 132
! - Energy relative to the elements, uncorrected: -1.753 eV/atom
&SYSTEM
  ibrav = 0, nat = 16, ntyp = 3
/
ATOMIC_SPECIES
Np 237.00 Np.upf
Tc 98.00 Tc.upf
O 16.00 O.upf
ATOMIC_POSITIONS crystal
Np 0.5000 0.5000 0.7500
Np 0.5000 0.5000 0.2500
Tc 0.0000 0.0000 0.5000
Tc 0.0000 0.0000 0.0000
O 0.2206 0.2208 0.3424
O 0.7794 0.7792 0.3424
O 0.7792 0.2206 0.8424
O 0.2208 0.7794 0.8424
O 0.7794 0.7792 0.6576
O 0.2206 0.2208 0.6576
O 0.2208 0.7794 0.1576
O 0.7792 0.2206 0.1576
O 0.2800 0.7202 0.5000
O 0.7200 0.2798 0.5000
O 0.2798 0.2800 0.0000
O 0.7202 0.7200 0.0000
CELL_PARAMETERS angstrom
-2.2497 1.8208 -3.7278
2.9573 -2.2703 -2.8936
-5.1118 -6.5272 -0.1031



# 19
! BeTcGe2H, optimized geometry, DFT PBE-GGA; values from VASP
! - Magnetic moment: 0.000 μB per cell
! - Energy: -4.609 eV/atom
! - Space group: No. 123
&SYSTEM
  ibrav = 0, nat = 5, ntyp = 4
/
ATOMIC_SPECIES
Be 9.01 Be.upf
Ge 72.64 Ge.upf
Tc 98.00 Tc.upf
H 1.01 H.upf
ATOMIC_POSITIONS crystal
Be 0.5000 0.5000 0.5000
Ge 0.0000 0.0000 0.5000
Ge 0.5000 0.0000 0.0000
Tc 0.0000 0.0000 0.0000
H 0.0000 0.5000 0.0000
CELL_PARAMETERS angstrom
-0.2287 0.3302 4.7890
2.9028 -1.9231 0.2712
2.6626 3.9980 -0.1485



# 20
! Co4As3, optimized geometry, DFT PBE-GGA; values from VASP
! - Magnetic moment: 6.021 μB per cell
! - Energy: -5.381 eV/atom
! - Space group: No. 191
! - Formation energy from the elements: 0.672 eV/atom
&SYSTEM
  ibrav = 0, nat = 7, ntyp = 2
/
ATOMIC_SPECIES
Co 58.93 Co.upf
As 74.92 As.upf
ATOMIC_POSITIONS crystal
Co 0.0000 0.0000 0.2519
Co 0.0000 0.0000 0.7481
Co 0.6667 0.3333 0.5000
Co 0.3333 0.6667 0.5000
As 0.0000 0.5000 0.0000
As 0.5000 0.5000 0.0000
As 0.5000 0.0000 0.0000
CELL_PARAMETERS angstrom
2.6127 -4.5253 0.0000
2.6127 4.5253 0.0000
0.0000 0.0000 4.3492